Entry 1:
# AgPt3

A crystal of AgPt3 relaxed with PBEsol (SCAN, the Alexandria database).

Geometry as POSCAR:
```
AgPt3
1.0
2.768 -3.991 0.000
2.768 3.991 0.000
0.000 0.000 2.752
Ag Pt
1 3
direct
0.000 0.000 0.000
0.000 0.500 0.500
0.500 0.000 0.500
0.500 0.500 0.000
```

- Calculated volume: 61 Å³/cell
- Calculated density: 18.929 g/cm³
- Formation energy: 0.0 kcal/mol of atoms
- Space group: Cmmm, No. 65

---

Entry 2:
# TiReTe3

A crystal of TiReTe3 relaxed with PBEsol (SCAN, the Alexandria database).

Geometry as POSCAR:
```
TiReTe3
1.0
5.209 0.000 0.000
0.000 5.209 0.000
0.000 0.000 5.209
Ti Re Te
1 1 3
direct
0.000 0.000 0.000
0.500 0.500 0.500
0.000 0.000 0.500
0.000 0.500 0.000
0.500 0.000 0.000
```

- Calculated volume: 141 Å³/cell
- Calculated density: 7.246 g/cm³
- E_form (uncorrected): 527 kJ/mol of formula units
- Space group: Pm-3m, No. 221

---

Entry 3:
# Li2CrAu

A crystal of Li2CrAu relaxed with PBEsol (SCAN, the Alexandria database).

Geometry as POSCAR:
```
Li2CrAu
1.0
1.343 0.775 9.168
-1.343 0.775 9.168
0.000 -1.550 9.168
Li Cr Au
2 1 1
direct
0.250 0.250 0.250
0.750 0.750 0.750
0.000 0.000 0.000
0.500 0.500 0.500
```

- Calculated volume: 57 Å³/cell
- Calculated density: 7.624 g/cm³
- Energy relative to the lowest polymorph listed for this composition: 349 meV/atom
- Formation energy: 2.3 kcal/mol of atoms
- Space group: R-3m, No. 166

---

Entry 4:
# AlIn2Pt

A crystal of AlIn2Pt relaxed with PBEsol (SCAN, the Alexandria database).

Geometry as POSCAR:
```
AlIn2Pt
1.0
4.196 0.000 0.000
0.000 4.196 0.000
0.000 0.000 4.209
Al In Pt
1 2 1
direct
0.000 0.000 0.000
0.000 0.500 0.500
0.500 0.000 0.500
0.500 0.500 0.000
```

- Calculated volume: 74 Å³/cell
- Calculated density: 10.121 g/cm³
- Formation energy: -2.6 kcal/mol of atoms
- Space group: P4/mmm, No. 123

---

Entry 5:
# CoSbRu2

A crystal of CoSbRu2 relaxed with PBEsol (SCAN, the Alexandria database).

Geometry as POSCAR:
```
CoSbRu2
1.0
2.850 0.000 0.000
0.000 4.361 0.000
-0.280 0.000 4.674
Co Sb Ru
1 1 2
direct
0.000 0.000 0.000
0.500 0.000 0.500
0.226 0.500 0.768
0.774 0.500 0.232
```

- Calculated volume: 58 Å³/cell
- Calculated density: 10.945 g/cm³
- E_form (uncorrected): 160 kJ/mol of formula units
- Space group: P2/m, No. 10

---

Entry 6:
# Li7Ru

A crystal of Li7Ru relaxed with PBEsol (SCAN, the Alexandria database).

Geometry as POSCAR:
```
Li7Ru
1.0
0.000 3.905 3.905
3.905 0.000 3.905
3.905 3.905 0.000
Li Ru
7 1
direct
0.000 0.000 0.000
0.000 0.000 0.500
0.000 0.500 0.000
0.000 0.500 0.500
0.500 0.000 0.000
0.500 0.000 0.500
0.500 0.500 0.000
0.500 0.500 0.500
```

- Calculated volume: 119 Å³/cell
- Calculated density: 2.087 g/cm³
- Formation energy: 4.1 kcal/mol of atoms
- Space group: Fm-3m, No. 225

---

Entry 7:
# Sc2PtBr

A crystal of Sc2PtBr relaxed with PBEsol (SCAN, the Alexandria database).

Geometry as POSCAR:
```
Sc2PtBr
1.0
-1.898 1.898 5.369
1.898 -1.898 5.369
1.898 1.898 -5.369
Sc Pt Br
2 1 1
direct
0.000 0.000 0.000
0.750 0.250 0.500
0.250 0.750 0.500
0.500 0.500 0.000
```

- Calculated volume: 77 Å³/cell
- Calculated density: 7.830 g/cm³
- E_form (uncorrected): -292 kJ/mol of formula units
- Energy relative to the lowest polymorph listed for this composition: 17 meV/atom
- Space group: I-4m2, No. 119

---

Entry 8:
# Sr2CaTl

A crystal of Sr2CaTl relaxed with PBEsol (SCAN, the Alexandria database).

Geometry as POSCAR:
```
Sr2CaTl
1.0
4.004 0.000 0.000
0.000 4.004 0.000
0.000 0.000 9.784
Sr Ca Tl
2 1 1
direct
0.000 0.000 0.201
0.000 0.000 0.799
0.500 0.500 0.500
0.500 0.500 0.000
```

- Calculated volume: 157 Å³/cell
- Calculated density: 4.443 g/cm³
- Energy relative to the lowest polymorph listed for this composition: 1 meV/atom
- Formation energy: -7.3 kcal/mol of atoms
- Space group: P4/mmm, No. 123

---

Question: Among the records above, which one has the lowest calculated volume?
Answer: Li2CrAu